#1
LiBH4 | GGA-PBEsol | relaxed

Lattice parameters (Å, degrees): 4.5999 4.3266 4.9502 90.00 94.54 90.00
Space group P2_1/m (No. 11)
One atom of each set of equivalent atoms:
1 Li 0.2393 0.2500 0.0654
2 B 0.2498 0.7500 0.8060
3 H 0.0970 0.5203 0.7557
4 H 0.3421 0.7500 0.0479
5 H 0.4448 0.7500 0.6518

Output
M_tot ... 0.0 μB per formula unit
D(E_F) ... 0.0 states/eV/f.u.

---

#2
LiBH4 | GGA-PBEsol | relaxed

Lattice parameters (Å, degrees): 5.6320 5.6320 5.6320 90.00 90.00 90.00
Space group F-43m (No. 216)
One atom of each set of equivalent atoms:
1 Li 0.0000 0.0000 0.0000
2 B 0.0000 0.0000 0.5000
3 H 0.1253 0.1253 0.6253

Output
M_tot ... 0.0 μB per formula unit
D(E_F) ... 0.0 states/eV/f.u.

---

Most stable = #1

---

#1
LiBH4 | GGA-PBEsol | relaxed

Lattice parameters (Å, degrees): 4.1351 4.1351 7.2003 90.00 90.00 120.00
Space group P6_3mc (No. 186)
One atom of each set of equivalent atoms:
1 Li 0.3333 0.6667 0.0000
2 B 0.3333 0.6667 0.5669
3 H 0.1723 0.3446 0.5084
4 H 0.3333 0.6667 0.7363

Output
M_tot ... 0.0 μB per formula unit
D(E_F) ... 0.0 states/eV/f.u.

---

#2
LiBH4 | GGA-PBEsol | relaxed

Lattice parameters (Å, degrees): 6.1827 5.6117 5.5404 90.00 90.00 90.00
Space group Ama2 (No. 40)
One atom of each set of equivalent atoms:
1 Li 0.0000 0.0000 0.0000
2 B 0.2500 0.2345 0.7505
3 H 0.0885 0.3196 0.8475
4 H 0.2500 0.0159 0.7574
5 H 0.2500 0.2750 0.5333

Output
M_tot ... 0.0 μB per formula unit
D(E_F) ... 0.0 states/eV/f.u.

---

Most stable = #2

---

#1
LiB6H6 | GGA-PBEsol | relaxed

Lattice parameters (Å, degrees): 9.4010 9.4010 9.4010 90.00 90.00 90.00
Space group Pa-3 (No. 205)
One atom of each set of equivalent atoms:
1 Li 0.1447 0.1447 0.1447
2 B 0.0378 0.5387 0.8282
3 B 0.0901 0.1236 0.4083
4 H 0.0619 0.5650 0.7044
5 H 0.1545 0.6548 0.2152

Output
M_tot ... 0.0 μB per formula unit
D(E_F) ... 0.0 states/eV/f.u.

---

#2
LiB6H6 | GGA-PBEsol | relaxed

Lattice parameters (Å, degrees): 9.8323 9.8323 9.8323 90.00 90.00 90.00
Space group Fm-3 (No. 202)
One atom of each set of equivalent atoms:
1 Li 0.2500 0.2500 0.2500
2 B 0.0000 0.1463 0.0890
3 H 0.0000 0.2461 0.3522

Output
M_tot ... 0.0 μB per formula unit
D(E_F) ... 0.0 states/eV/f.u.

---

Most stable = #1

---

#1
NaLiB2H10N2 | GGA-PBEsol | relaxed

Lattice parameters (Å, degrees): 5.0110 7.0636 8.6750 102.12 101.98 107.52
Space group P-1 (No. 2)
One atom of each set of equivalent atoms:
1 Na 0.1509 0.2685 0.4822
2 Li 0.4792 0.0566 0.8668
3 B 0.0213 0.1248 0.7503
4 B 0.3614 0.6879 0.6992
5 H 0.0019 0.6862 0.0273
6 H 0.0345 0.9699 0.7946
7 H 0.1049 0.5747 0.6776
8 H 0.1285 0.9380 0.3956
9 H 0.1593 0.6429 0.1937
10 H 0.2536 0.1671 0.0988
11 H 0.2765 0.2306 0.7567
12 H 0.3614 0.8289 0.6341
13 H 0.4789 0.5824 0.6237
14 H 0.4857 0.6640 0.9418
15 N 0.1288 0.7595 0.1471
16 N 0.4752 0.2200 0.1139

Output
M_tot ... 0.0 μB per formula unit
D(E_F) ... 0.0 states/eV/f.u.

---

#2
NaLiB2H10N2 | GGA-PBEsol | relaxed

Lattice parameters (Å, degrees): 14.1602 6.9928 5.2500 90.00 90.00 90.00
Space group Pca2_1 (No. 29)
One atom of each set of equivalent atoms:
1 Na 0.1685 0.2000 0.0000
2 Li 0.1758 0.6836 0.3612
3 B 0.1373 0.3403 0.4899
4 B 0.1590 0.8132 0.8906
5 H 0.0037 0.2395 0.6380
6 H 0.0361 0.4428 0.7643
7 H 0.0360 0.7342 0.6709
8 H 0.0832 0.9357 0.5810
9 H 0.1124 0.4265 0.2899
10 H 0.1188 0.8856 0.0808
11 H 0.1662 0.1792 0.4238
12 H 0.1855 0.6511 0.9596
13 H 0.2064 0.4291 0.5766
14 H 0.2309 0.9104 0.8495
15 N 0.0618 0.3160 0.6951
16 N 0.0999 0.8012 0.6456

Output
M_tot ... 0.0 μB per formula unit
D(E_F) ... 0.0 states/eV/f.u.

---

Most stable = #1